1.
A plane-wave DFT calculation with GGA-PBE was carried out for CaCdAs2Pb after structural relaxation.

abc: 5.362 5.362 5.947
angles: 90.00 90.00 90.00
Positions (direct):
Ca (0.000, 0.000, 0.000)
Cd (0.500, 0.500, 0.500)
As (0.000, 0.500, 0.000)
As (0.500, 0.000, 0.000)
Pb (0.000, 0.000, 0.500)

Calculated values
Energy relative to the elements: 0.5563 eV per atom
Magnetic moment: 0.28 μB per formula unit
E_tot: -13.1 eV for the cell shown
Symmetry: P4/mmm (123)


2.
A plane-wave DFT calculation with GGA-PBE was carried out for Pm3Pr5Nd2 after structural relaxation.

abc: 9.356 9.356 10.220
angles: 108.83 108.83 107.11
Positions (direct):
Pm (0.019, 0.981, 0.750)
Pm (0.219, 0.469, 0.445)
Pm (0.469, 0.219, 0.945)
Pm (0.531, 0.781, 0.055)
Pm (0.781, 0.531, 0.555)
Pm (0.981, 0.019, 0.250)
Pr (0.132, 0.379, 0.760)
Pr (0.229, 0.771, 0.750)
Pr (0.270, 0.730, 0.250)
Pr (0.379, 0.132, 0.260)
Pr (0.477, 0.523, 0.250)
Pr (0.523, 0.477, 0.750)
Pr (0.621, 0.868, 0.740)
Pr (0.730, 0.270, 0.750)
Pr (0.771, 0.229, 0.250)
Pr (0.868, 0.621, 0.240)
Nd (0.027, 0.274, 0.057)
Nd (0.274, 0.027, 0.557)
Nd (0.726, 0.973, 0.443)
Nd (0.973, 0.726, 0.943)

Calculated values
Energy relative to the elements: 0.1677 eV per atom
Polymorph energy (0 for the lowest one): 0 meV per atom
Magnetic moment: 0.00 μB per formula unit
E_tot: -92.0 eV for the cell shown
Symmetry: C2/c (15)


3.
A plane-wave DFT calculation with GGA-PBE was carried out for Ce2SiSb after structural relaxation.

abc: 11.955 11.955 4.140
angles: 90.00 90.00 158.00
Positions (direct):
Ce (0.059, 0.941, 0.750)
Ce (0.326, 0.674, 0.750)
Ce (0.674, 0.326, 0.250)
Ce (0.941, 0.059, 0.250)
Si (0.465, 0.535, 0.750)
Si (0.535, 0.465, 0.250)
Sb (0.191, 0.809, 0.750)
Sb (0.809, 0.191, 0.250)

Calculated values
Polymorph energy (0 for the lowest one): 7 meV per atom
Magnetic moment: 1.65 μB per formula unit
Formation energy from raw total energies: -0.7454 eV per atom
E_tot: -48.8 eV for the cell shown
Symmetry: Cmcm (63)


Among the records above, which one has the lowest magnetic moment? Pm3Pr5Nd2


Which of these has the highest magnetic moment? Ce2SiSb